KCa3Rh: optimized geometry, PBE-GGA.

The calculation puts the excess energy over the best structure of this formula in the dataset at 168.5 meV/atom. The energy is -2.91 eV per atom. The formation energy is -0.11 eV per formula unit.

It has space group Pnma (No. 62), with a = 7.422 Å, b = 9.199 Å, c = 11.533 Å, α = 90.00°, β = 90.00° and γ = 90.00°. The inequivalent atoms are K at (0.000, 0.000, 0.000), Ca at (0.018, 0.062, 0.365), Ca at (0.242, 0.250, 0.733) and Rh at (0.034, 0.750, 0.434).